Record 1
TiAsBr2: relaxed, PBE.

The value obtained for the magnetic moment is 0.0 μB per cell. The final energy is -4.32 eV/atom. For the formation energy without anion corrections, the calculation gives -0.34 eV per atom.

The structure belongs to space group R-3m (No. 166, hexagonal axes); the cell edges are 3.2819, 3.2819 and 33.2678 Å and the angles 90.00°, 90.00° and 120.00°. The distinct sites, in fractional coordinates, are Ti at (0.0000, 0.0000, 0.0000), As at (0.0000, 0.0000, 0.5000) and Br at (0.0000, 0.0000, 0.3866).

---

Record 2
TiTlAs2Br: relaxed, PBE.

The value obtained for the magnetic moment is 0.0 μB per cell. The final energy is -4.53 eV/atom. For the formation energy without anion corrections, the calculation gives -0.28 eV per atom.

The structure belongs to space group P4/mmm (No. 123); the cell edges are 4.883, 4.883 and 5.693 Å and the angles 90.00°, 90.00° and 90.00°. The distinct sites, in fractional coordinates, are Ti at (0.000, 0.000, 0.000), Tl at (0.500, 0.500, 0.500), As at (0.000, 0.500, 0.000) and Br at (0.000, 0.000, 0.500).

---

Record 3
TiTlAs2Br: relaxed, PBE.

The value obtained for the magnetic moment is 1.3 μB per cell. The final energy is -3.31 eV/atom. For the formation energy without anion corrections, the calculation gives 0.94 eV per atom.

The structure belongs to space group P4/mmm (No. 123); the cell edges are 5.251, 5.251 and 5.668 Å and the angles 90.00°, 90.00° and 90.00°. The distinct sites, in fractional coordinates, are Ti at (0.000, 0.000, 0.000), Tl at (0.500, 0.500, 0.500), As at (0.000, 0.500, 0.500) and Br at (0.500, 0.500, 0.000).

---

Record 4
TiTlAsBr2: relaxed, PBE.

The value obtained for the magnetic moment is 0.0 μB per cell. The final energy is -4.17 eV/atom. For the formation energy without anion corrections, the calculation gives -0.52 eV per atom.

The structure belongs to space group P4/mmm (No. 123); the cell edges are 5.298, 5.298 and 4.967 Å and the angles 90.00°, 90.00° and 90.00°. The distinct sites, in fractional coordinates, are Ti at (0.000, 0.000, 0.000), Tl at (0.500, 0.500, 0.500), As at (0.000, 0.000, 0.500) and Br at (0.000, 0.500, 0.000).

---

Record 5
TiVAsBr2: relaxed, PBE.

The value obtained for the magnetic moment is 3.5 μB per cell. The final energy is -4.81 eV/atom. For the formation energy without anion corrections, the calculation gives 0.19 eV per atom.

The structure belongs to space group P4/mmm (No. 123); the cell edges are 4.976, 4.976 and 5.150 Å and the angles 90.00°, 90.00° and 90.00°. The distinct sites, in fractional coordinates, are Ti at (0.000, 0.000, 0.000), V at (0.500, 0.500, 0.500), As at (0.000, 0.000, 0.500) and Br at (0.000, 0.500, 0.000).

---

Record 6
TiAsWBr2: relaxed, PBE.

The value obtained for the magnetic moment is 4.2 μB per cell. The final energy is -4.96 eV/atom. For the formation energy without anion corrections, the calculation gives 0.80 eV per atom.

The structure belongs to space group P4/mmm (No. 123); the cell edges are 5.198, 5.198 and 4.906 Å and the angles 90.00°, 90.00° and 90.00°. The distinct sites, in fractional coordinates, are Ti at (0.000, 0.000, 0.000), As at (0.500, 0.500, 0.000), W at (0.500, 0.500, 0.500) and Br at (0.000, 0.500, 0.500).